This record from the Alexandria database describes a relaxed structure of AcCo2MoO8. The functional is GGA+U.

Calculated values
Size of the total moment in μB per atom: 0.746
Space group: No. 164
Electronic total energy in eV/atom: -6.430

Cell: 5.882 5.882 6.350 Å, 90.00 90.00 120.00°
Atoms (fractional coordinates):
Ac1 0.000 0.000 0.500
Co1 0.667 0.333 0.895
Co2 0.333 0.667 0.105
Mo1 0.000 0.000 0.000
O1 0.843 0.687 0.810
O2 0.313 0.157 0.810
O3 0.843 0.157 0.810
O4 0.157 0.313 0.190
O5 0.687 0.843 0.190
O6 0.157 0.843 0.190
O7 0.667 0.333 0.163
O8 0.333 0.667 0.837